TbErZr2 | PBE-GGA | optimized geometry

Results
For the energy of formation, the calculation gives 0.109 eV/atom. The value obtained for the total energy is -25.9 eV/cell. For the excess energy over the best structure of this formula in the dataset, the calculation gives 30 meV per atom.

a b c (Å): 3.361 3.361 11.014
angles (deg): 81.23 81.23 60.04
Positions (direct):
Tb1 0.500 0.500 0.500
Er1 0.667 0.667 0.999
Zr1 0.083 0.083 0.752
Zr2 0.250 0.250 0.249


SrPr2Ag | PBE-GGA | optimized geometry

Results
For the energy of formation, the calculation gives -0.012 eV/atom. The value obtained for the total energy is -14.1 eV/cell. For the excess energy over the best structure of this formula in the dataset, the calculation gives 0 meV per atom.

a b c (Å): 3.879 3.879 9.517
angles (deg): 90.00 90.00 90.00
Positions (direct):
Pr1 0.000 0.000 0.817
Pr2 0.000 0.000 0.183
Sr1 0.500 0.500 0.500
Ag1 0.500 0.500 0.000


LuPu2Co | PBE-GGA | optimized geometry

Results
For the energy of formation, the calculation gives 0.114 eV/atom. The value obtained for the total energy is -39.8 eV/cell. For the excess energy over the best structure of this formula in the dataset, the calculation gives 0 meV per atom.

a b c (Å): 3.378 3.378 8.065
angles (deg): 90.00 90.00 90.00
Positions (direct):
Lu1 0.500 0.500 0.500
Co1 0.500 0.500 0.000
Pu1 0.000 0.000 0.807
Pu2 0.000 0.000 0.193


Taking the records one at a time from the top gives magnetization values of 0.000 0.572 10.755 μB per formula unit.